Entry 1:
PmNd2Pu3S6: optimized geometry, PBE.

Properties
space group = C2/m

The structure in POSCAR format:
```
PmNd2Pu3S6
1.0
-1.672 0.518 3.595
6.859 -2.246 3.513
1.715 8.393 -2.635
Pm Nd Pu S
1 2 3 6
direct
0.500 0.000 0.000 Pm
0.833 0.667 0.667 Nd
0.167 0.333 0.333 Nd
0.500 0.500 0.000 Pu
0.833 0.167 0.666 Pu
0.167 0.833 0.334 Pu
0.332 0.923 0.664 S
0.664 0.589 0.329 S
0.668 0.077 0.336 S
0.997 0.254 0.995 S
0.003 0.746 0.005 S
0.336 0.411 0.671 S
```

=====

Entry 2:
Pm2NdPuS4: optimized geometry, PBE.

Properties
space group = P2/m

The structure in POSCAR format:
```
Pm2NdPuS4
1.0
-1.690 2.777 -2.349
3.853 -2.210 -5.386
-6.010 -3.541 0.138
Pm Nd Pu S
2 1 1 4
direct
0.500 0.000 0.500 Pm
0.000 0.500 0.500 Pm
0.000 0.000 0.000 Nd
0.500 0.500 0.000 Pu
0.500 0.254 0.250 S
0.500 0.746 0.750 S
0.000 0.256 0.754 S
0.000 0.744 0.246 S
```

=====

no.,raw formation energy (meV/atom),magnetization (μB/atom)
1,-1916.3,1.402
2,-1978.7,0.718